1.
A relaxed structure of LaMoAs2. Source: the Alexandria database, functional PBE-GGA. Values from VASP.

Properties
formation energy: -1.0 eV per formula unit
ΔE to the lowest computed polymorph: 0.396 eV per atom

Cell and atoms, written as Quantum ESPRESSO input:
```
&SYSTEM
  ibrav = 0, nat = 4, ntyp = 3
/
ATOMIC_SPECIES
La 138.91 La.upf
Mo 95.94 Mo.upf
As 74.92 As.upf
CELL_PARAMETERS angstrom
4.094 0.000 0.000
0.000 4.092 0.000
-0.015 0.000 5.702
ATOMIC_POSITIONS angstrom
La 0.000 0.000 0.000
Mo 2.040 2.046 2.851
As -0.007 0.000 2.851
As 2.047 2.046 0.000
```

---

2.
A relaxed structure of Ac5SmRh4. Source: the Alexandria database, functional PBE-GGA. Values from VASP.

Properties
formation energy: -6.0 eV per formula unit

Cell and atoms, written as Quantum ESPRESSO input:
```
&SYSTEM
  ibrav = 0, nat = 10, ntyp = 3
/
ATOMIC_SPECIES
Ac 227.00 Ac.upf
Sm 150.36 Sm.upf
Rh 102.91 Rh.upf
CELL_PARAMETERS angstrom
9.196 -2.157 0.000
9.196 2.157 0.000
-2.132 0.000 8.060
ATOMIC_POSITIONS angstrom
Ac 0.000 0.000 0.000
Ac 4.776 0.000 5.238
Ac 5.843 0.000 1.352
Ac 10.418 0.000 6.708
Ac 11.485 0.000 2.822
Sm -1.066 0.000 4.030
Rh 1.848 0.000 4.873
Rh 7.581 0.000 6.073
Rh 8.680 0.000 1.987
Rh 14.413 0.000 3.187
```

---

3.
A relaxed structure of BaTmCu2Ge2. Source: the Alexandria database, functional PBE-GGA. Values from VASP.

Properties
formation energy: -3.3 eV per formula unit

Cell and atoms, written as Quantum ESPRESSO input:
```
&SYSTEM
  ibrav = 0, nat = 6, ntyp = 4
/
ATOMIC_SPECIES
Ba 137.33 Ba.upf
Tm 168.93 Tm.upf
Cu 63.55 Cu.upf
Ge 72.64 Ge.upf
CELL_PARAMETERS angstrom
4.374 0.000 0.000
-2.187 3.788 0.000
0.000 0.000 8.054
ATOMIC_POSITIONS angstrom
Ba 0.000 0.000 0.000
Tm 0.000 0.000 4.027
Cu 0.000 2.525 5.453
Cu 2.187 1.263 2.602
Ge 0.000 2.525 2.424
Ge 2.187 1.263 5.630
```

---

4.
A relaxed structure of Mn2SiN2. Source: the Alexandria database, functional PBE-GGA. Values from VASP.

Properties
DFT total energy: -74.73 eV/cell

Cell and atoms, written as Quantum ESPRESSO input:
```
&SYSTEM
  ibrav = 0, nat = 10, ntyp = 3
/
ATOMIC_SPECIES
Mn 54.94 Mn.upf
Si 28.09 Si.upf
N 14.01 N.upf
CELL_PARAMETERS angstrom
6.178 0.000 0.000
0.000 6.178 0.000
0.000 0.000 2.606
ATOMIC_POSITIONS angstrom
Mn 0.842 2.246 0.000
Mn 2.246 5.335 0.000
Mn 3.931 0.842 0.000
Mn 5.335 3.931 0.000
Si 0.000 0.000 0.000
Si 3.089 3.089 0.000
N 0.801 3.890 1.303
N 2.288 0.801 1.303
N 3.890 5.376 1.303
N 5.376 2.288 1.303
```

---

5.
A relaxed structure of Cs2SiBCl6. Source: the Alexandria database, functional PBE-GGA. Values from VASP.

Properties
DFT total energy: -33.37 eV/cell

Cell and atoms, written as Quantum ESPRESSO input:
```
&SYSTEM
  ibrav = 0, nat = 10, ntyp = 4
/
ATOMIC_SPECIES
Cs 132.91 Cs.upf
Si 28.09 Si.upf
B 10.81 B.upf
Cl 35.45 Cl.upf
CELL_PARAMETERS angstrom
-3.621 3.621 5.062
3.621 -3.621 5.062
3.621 3.621 -5.062
ATOMIC_POSITIONS angstrom
Cs 3.621 0.000 2.531
Cs 0.000 3.621 2.531
Si 0.000 0.000 0.000
B 0.000 0.000 5.062
Cl 1.684 1.684 0.000
Cl 1.937 -1.937 5.062
Cl 0.000 0.000 2.379
Cl 0.000 0.000 7.746
Cl -1.937 1.937 5.062
Cl 1.937 1.937 5.062
```

---

6.
A relaxed structure of SbRh2Se. Source: the Alexandria database, functional PBE-GGA. Values from VASP.

Properties
DFT total energy: -21.82 eV/cell

Cell and atoms, written as Quantum ESPRESSO input:
```
&SYSTEM
  ibrav = 0, nat = 4, ntyp = 3
/
ATOMIC_SPECIES
Sb 121.76 Sb.upf
Rh 102.91 Rh.upf
Se 78.96 Se.upf
CELL_PARAMETERS angstrom
-1.556 2.667 4.285
1.556 -2.667 4.285
1.556 2.667 -4.285
ATOMIC_POSITIONS angstrom
Sb 0.000 0.000 0.000
Rh 1.556 0.000 2.172
Rh 0.000 2.667 2.113
Se 0.000 0.000 4.285
```

---

7.
A relaxed structure of ReRhSe2. Source: the Alexandria database, functional PBE-GGA. Values from VASP.

Properties
ΔE to the lowest computed polymorph: 0.614 eV per atom

Cell and atoms, written as Quantum ESPRESSO input:
```
&SYSTEM
  ibrav = 0, nat = 4, ntyp = 3
/
ATOMIC_SPECIES
Re 186.21 Re.upf
Rh 102.91 Rh.upf
Se 78.96 Se.upf
CELL_PARAMETERS angstrom
-1.883 1.883 4.522
1.883 -1.883 4.522
1.883 1.883 -4.522
ATOMIC_POSITIONS angstrom
Re 0.000 0.000 0.000
Rh 1.883 0.000 2.261
Se 0.000 0.000 4.522
Se 0.000 1.883 2.261
```

---

8.
A relaxed structure of Ta3NbAl. Source: the Alexandria database, functional PBE-GGA. Values from VASP.

Properties
formation energy: 8.0 eV per formula unit
ΔE to the lowest computed polymorph: 0.331 eV per atom

Cell and atoms, written as Quantum ESPRESSO input:
```
&SYSTEM
  ibrav = 0, nat = 5, ntyp = 3
/
ATOMIC_SPECIES
Ta 180.95 Ta.upf
Nb 92.91 Nb.upf
Al 26.98 Al.upf
CELL_PARAMETERS angstrom
4.863 0.000 0.000
0.000 4.863 0.000
0.000 0.000 4.863
ATOMIC_POSITIONS angstrom
Ta 0.000 0.000 2.432
Ta 0.000 2.432 0.000
Ta 2.432 0.000 0.000
Nb 0.000 0.000 0.000
Al 2.432 2.432 2.432
```

---

9.
A relaxed structure of CeCuPb. Source: the Alexandria database, functional PBE-GGA. Values from VASP.

Properties
formation energy: -0.9 eV per formula unit

Cell and atoms, written as Quantum ESPRESSO input:
```
&SYSTEM
  ibrav = 0, nat = 3, ntyp = 3
/
ATOMIC_SPECIES
Ce 140.12 Ce.upf
Cu 63.55 Cu.upf
Pb 207.20 Pb.upf
CELL_PARAMETERS angstrom
0.000 3.359 3.359
3.359 0.000 3.359
3.359 3.359 0.000
ATOMIC_POSITIONS angstrom
Ce 0.000 0.000 0.000
Cu 1.680 1.680 1.680
Pb 3.359 3.359 3.359
```

---

10.
A relaxed structure of CeAlSi2Pt4. Source: the Alexandria database, functional PBE-GGA. Values from VASP.

Properties
DFT total energy: -51.72 eV/cell

Cell and atoms, written as Quantum ESPRESSO input:
```
&SYSTEM
  ibrav = 0, nat = 8, ntyp = 4
/
ATOMIC_SPECIES
Ce 140.12 Ce.upf
Al 26.98 Al.upf
Si 28.09 Si.upf
Pt 195.08 Pt.upf
CELL_PARAMETERS angstrom
2.039 1.177 9.748
-2.039 1.177 9.748
0.000 -2.354 9.748
ATOMIC_POSITIONS angstrom
Ce 0.000 0.000 0.000
Al 0.000 0.000 14.622
Si 0.000 0.000 7.807
Si 0.000 0.000 21.437
Pt 0.000 0.000 3.957
Pt 0.000 0.000 12.066
Pt 0.000 0.000 17.179
Pt 0.000 0.000 25.288
```

---

11.
A relaxed structure of PrCu3Rh. Source: the Alexandria database, functional PBE-GGA. Values from VASP.

Properties
formation energy: 1.0 eV per formula unit

Cell and atoms, written as Quantum ESPRESSO input:
```
&SYSTEM
  ibrav = 0, nat = 5, ntyp = 3
/
ATOMIC_SPECIES
Pr 140.91 Pr.upf
Cu 63.55 Cu.upf
Rh 102.91 Rh.upf
CELL_PARAMETERS angstrom
2.750 -3.947 0.000
2.750 3.947 0.000
0.000 0.000 4.675
ATOMIC_POSITIONS angstrom
Pr 0.000 0.000 0.000
Cu 1.375 1.974 2.337
Cu 1.375 -1.974 2.337
Cu 2.750 0.000 0.000
Rh 2.750 0.000 2.337
```

---

12.
A relaxed structure of YCdIr2. Source: the Alexandria database, functional PBE-GGA. Values from VASP.

Properties
formation energy: -0.4 eV per formula unit

Cell and atoms, written as Quantum ESPRESSO input:
```
&SYSTEM
  ibrav = 0, nat = 4, ntyp = 3
/
ATOMIC_SPECIES
Y 88.91 Y.upf
Cd 112.41 Cd.upf
Ir 192.22 Ir.upf
CELL_PARAMETERS angstrom
4.681 -1.583 0.000
4.681 1.583 0.000
-1.230 0.000 5.092
ATOMIC_POSITIONS angstrom
Y 0.000 0.000 0.000
Cd 4.066 0.000 2.546
Ir 1.453 0.000 3.638
Ir 6.679 0.000 1.453
```